[1]
CaSbCI2 after structural relaxation, computed with PBE.

The structure in POSCAR format:
```
CaSbCI2
1.0
5.9886 0.0000 0.0000
0.0000 5.9886 0.0000
0.0000 0.0000 6.3744
Ca Sb C I
1 1 1 2
direct
0.0000 0.0000 0.0000
0.0000 0.0000 0.5000
0.5000 0.5000 0.5000
0.0000 0.5000 0.0000
0.5000 0.0000 0.0000
```

energy above the most stable polymorph in this dataset: 3.59 eV per formula unit
total magnetization: 0.717 μB per atom
formation energy without anion corrections: 1222 meV per atom

***

[2]
CaSb2CI after structural relaxation, computed with PBE.

The structure in POSCAR format:
```
CaSb2CI
1.0
4.8624 0.0000 0.0000
0.0000 4.8624 0.0000
0.0000 0.0000 5.2364
Ca Sb C I
1 2 1 1
direct
0.0000 0.0000 0.0000
0.0000 0.5000 0.5000
0.5000 0.0000 0.5000
0.5000 0.5000 0.5000
0.5000 0.5000 0.0000
```

energy above the most stable polymorph in this dataset: 0.00 eV per formula unit
total magnetization: 0.000 μB per atom
formation energy without anion corrections: 542 meV per atom

***

[3]
CaSb2CI after structural relaxation, computed with PBE.

The structure in POSCAR format:
```
CaSb2CI
1.0
5.9632 0.0000 0.0000
0.0000 5.9632 0.0000
0.0000 0.0000 5.8306
Ca Sb C I
1 2 1 1
direct
0.0000 0.0000 0.0000
0.0000 0.5000 0.0000
0.5000 0.0000 0.0000
0.5000 0.5000 0.5000
0.0000 0.0000 0.5000
```

energy above the most stable polymorph in this dataset: 5.60 eV per formula unit
total magnetization: 0.233 μB per atom
formation energy without anion corrections: 1662 meV per atom

***

[4]
CaSbCI2 after structural relaxation, computed with PBE.

The structure in POSCAR format:
```
CaSbCI2
1.0
5.1718 0.0000 0.0000
0.0000 5.1718 0.0000
0.0000 0.0000 4.8914
Ca Sb C I
1 1 1 2
direct
0.0000 0.0000 0.0000
0.5000 0.5000 0.0000
0.5000 0.5000 0.5000
0.0000 0.5000 0.5000
0.5000 0.0000 0.5000
```

energy above the most stable polymorph in this dataset: 0.00 eV per formula unit
total magnetization: 0.000 μB per atom
formation energy without anion corrections: 503 meV per atom

***

[5]
CaScC2I after structural relaxation, computed with PBE.

The structure in POSCAR format:
```
CaScC2I
1.0
4.4629 0.0000 0.0000
0.0000 4.4629 0.0000
0.0000 0.0000 5.6660
Ca Sc C I
1 1 2 1
direct
0.0000 0.0000 0.0000
0.5000 0.5000 0.5000
0.0000 0.5000 0.0000
0.5000 0.0000 0.0000
0.0000 0.0000 0.5000
```

total magnetization: 0.000 μB per atom
formation energy without anion corrections: 1810 meV per atom

***

[6]
Ca2SiCI after structural relaxation, computed with PBE.

The structure in POSCAR format:
```
Ca2SiCI
1.0
5.8551 0.0000 0.0000
0.0000 5.8551 0.0000
0.0000 0.0000 4.2145
Ca Si C I
2 1 1 1
direct
0.0000 0.5000 0.0000
0.5000 0.0000 0.0000
0.0000 0.0000 0.5000
0.5000 0.5000 0.5000
0.5000 0.5000 0.0000
```

total magnetization: 0.163 μB per atom
formation energy without anion corrections: 1063 meV per atom

***

[7]
Ca2TcCI after structural relaxation, computed with PBE.

The structure in POSCAR format:
```
Ca2TcCI
1.0
5.3518 0.0000 0.0000
0.0000 5.3518 0.0000
0.0000 0.0000 3.9877
Ca Tc C I
2 1 1 1
direct
0.0000 0.5000 0.0000
0.5000 0.0000 0.0000
0.0000 0.0000 0.5000
0.0000 0.0000 0.0000
0.5000 0.5000 0.5000
```

total magnetization: 0.282 μB per atom
formation energy without anion corrections: -107 meV per atom

***

[8]
CaTeCI2 after structural relaxation, computed with PBE.

The structure in POSCAR format:
```
CaTeCI2
1.0
5.9850 0.0000 0.0000
0.0000 5.9850 0.0000
0.0000 0.0000 6.2433
Ca Te C I
1 1 1 2
direct
0.0000 0.0000 0.0000
0.0000 0.0000 0.5000
0.5000 0.5000 0.5000
0.0000 0.5000 0.0000
0.5000 0.0000 0.0000
```

energy above the most stable polymorph in this dataset: 3.83 eV per formula unit
total magnetization: 0.430 μB per atom
formation energy without anion corrections: 1110 meV per atom

***

[9]
CaTeCI2 after structural relaxation, computed with PBE.

The structure in POSCAR format:
```
CaTeCI2
1.0
5.1840 0.0000 0.0000
0.0000 5.1840 0.0000
0.0000 0.0000 4.9448
Ca Te C I
1 1 1 2
direct
0.0000 0.0000 0.0000
0.5000 0.5000 0.0000
0.5000 0.5000 0.5000
0.0000 0.5000 0.5000
0.5000 0.0000 0.5000
```

energy above the most stable polymorph in this dataset: 0.00 eV per formula unit
total magnetization: 0.000 μB per atom
formation energy without anion corrections: 343 meV per atom

***

[10]
CaTiC2I after structural relaxation, computed with PBE.

The structure in POSCAR format:
```
CaTiC2I
1.0
4.5145 0.0000 0.0000
0.0000 4.5145 0.0000
0.0000 0.0000 5.4475
Ca Ti C I
1 1 2 1
direct
0.0000 0.0000 0.0000
0.5000 0.5000 0.0000
0.0000 0.5000 0.5000
0.5000 0.0000 0.5000
0.0000 0.0000 0.5000
```

total magnetization: 0.486 μB per atom
formation energy without anion corrections: 2608 meV per atom

***

[11]
Ca2InC after structural relaxation, computed with PBE.

The structure in POSCAR format:
```
Ca2InC
1.0
-3.8708 3.8708 3.4297
3.8708 -3.8708 3.4297
3.8708 3.8708 -3.4297
Ca In C
4 2 2
direct
0.0292 0.6250 0.9042
0.3750 0.2792 0.4042
0.7208 0.1250 0.0958
0.8750 0.9708 0.5958
0.2500 0.7500 0.5000
0.5000 0.5000 0.0000
0.0000 0.0000 0.0000
0.7500 0.2500 0.5000
```

formation energy: 0.45 eV per atom
total magnetization: 0.240 μB per atom

***

[12]
CaInC3 after structural relaxation, computed with PBE.

The structure in POSCAR format:
```
CaInC3
1.0
4.3808 0.0000 0.0000
0.0000 4.3808 0.0000
0.0000 0.0000 4.3808
Ca In C
1 1 3
direct
0.0000 0.0000 0.0000
0.5000 0.5000 0.5000
0.0000 0.5000 0.5000
0.5000 0.0000 0.5000
0.5000 0.5000 0.0000
```

energy above the most stable polymorph in this dataset: 0.00 eV per formula unit
formation energy: 2.29 eV per atom
total magnetization: 0.000 μB per atom

***

Number 1: electronic total energy -2.468 eV per atom. Number 2: electronic total energy -3.662 eV per atom. Number 3: electronic total energy -2.542 eV per atom. Number 4: electronic total energy -3.187 eV per atom. Number 5: electronic total energy -3.856 eV per atom. Number 6: electronic total energy -2.977 eV per atom. Number 7: electronic total energy -5.136 eV per atom. Number 8: electronic total energy -2.384 eV per atom. Number 9: electronic total energy -3.150 eV per atom. Number 10: electronic total energy -3.371 eV per atom. Number 11: electronic total energy -3.537 eV per atom. Number 12: electronic total energy -4.192 eV per atom.